Compound: AgI2NF
Source: the Alexandria database
Functional: PBE
Structure: optimized geometry

Values from the calculation:
Its energy above the most stable polymorph in this dataset is 9.0 kJ/mol of atoms. For the calculated total energy, the calculation gives -2.244 eV per atom. The value obtained for the uncorrected formation energy is 22.73 kcal/mol of atoms. Its volume is 27.3 A^3/atom.

Lattice parameters (Å, degrees): 6.377 6.377 3.357 90.00 90.00 90.00
Positions (direct):
1 F 0.000 0.000 0.000
2 N 0.000 0.000 0.500
3 I 0.000 0.500 0.000
4 I 0.500 0.000 0.000
5 Ag 0.500 0.500 0.500